1.
Material: Hf3TiSi
Method: DFT, PBE
State: relaxed

Output
**Space-group type**: Pm-3m, No. 221
**Formation energy from raw total energies**: 1.05 eV per atom
**Relative energy among the computed polymorphs**: 310.7 kJ/mol of formula units
**Raw total energy**: -7.584 eV/atom

abc: 4.851 4.851 4.851
angles: 90.00 90.00 90.00
Positions (direct):
Hf 0.000 0.000 0.500
Hf 0.000 0.500 0.000
Hf 0.500 0.000 0.000
Ti 0.000 0.000 0.000
Si 0.500 0.500 0.500

2.
Material: Sm5Bi2H2
Method: DFT, PBE
State: relaxed

Output
**Space-group type**: C2/m, No. 12
**Raw total energy**: -4.775 eV/atom

abc: 6.609 6.609 8.755
angles: 98.17 98.17 36.60
Positions (direct):
Sm 0.000 0.000 0.000
Sm 0.126 0.126 0.453
Sm 0.278 0.278 0.839
Sm 0.722 0.722 0.161
Sm 0.874 0.874 0.547
Bi 0.431 0.431 0.258
Bi 0.569 0.569 0.742
H 0.146 0.146 0.195
H 0.854 0.854 0.805

| no. | M_tot (μB per formula unit) |
| --- | --- |
| 1 | 0.00 |
| 2 | 0.00 |